Compound: K4MnO4
Source: Alexandria
Functional: PBE+U
Structure: optimized geometry

```
data_K4MnO4
_symmetry_space_group_name_H-M 'P 1'
_symmetry_Int_Tables_number 1
_cell_length_a 6.353
_cell_length_b 6.546
_cell_length_c 9.489
_cell_angle_alpha 79.24
_cell_angle_beta 71.74
_cell_angle_gamma 67.36
loop_
_symmetry_equiv_pos_as_xyz
'x,y,z'
loop_
_atom_site_label
_atom_site_fract_x
_atom_site_fract_y
_atom_site_fract_z
K1 0.962 0.226 0.624
K2 0.038 0.774 0.376
K3 0.415 0.237 0.844
K4 0.585 0.763 0.156
K5 0.228 0.745 0.969
K6 0.772 0.255 0.031
K7 0.486 0.725 0.564
K8 0.514 0.275 0.436
Mn1 0.845 0.735 0.751
Mn2 0.155 0.265 0.249
O1 0.705 0.962 0.628
O2 0.295 0.038 0.372
O3 0.864 0.460 0.338
O4 0.136 0.540 0.662
O5 0.674 0.549 0.808
O6 0.326 0.451 0.192
O7 0.830 0.906 0.888
O8 0.170 0.094 0.112
```

Computed properties:
symmetry	No. 2
energy above the lowest structure with this stoichiometry	0.000	eV per atom